# 1
K2Rb5Na2 | the Alexandria database | PBE | optimized geometry; spin magnetization = 0.00 Bohr magnetons per cell; polymorph energy (0 for the lowest one) = 2.1 kJ/mol of atoms; energy relative to the elements = 58 meV per atom
1.0
6.3302 0.0000 -1.9604
-0.0048 6.5295 -0.0156
1.6863 0.0509 16.6452
Na Rb K
2 5 2
Direct
0.7878 0.0004 0.5756
0.2122 0.9996 0.4244
0.3866 0.9983 0.7732
0.8875 0.4992 0.7750
0.6134 0.0017 0.2268
0.1125 0.5008 0.2250
0.0000 0.0000 0.0000
0.7115 0.5016 0.4230
0.2885 0.4984 0.5770

---

# 2
K3Rb3Na8 | the Alexandria database | PBE | optimized geometry; spin magnetization = 0.00 Bohr magnetons per cell; energy relative to the elements = 42 meV per atom
1.0
-2.2403 -4.5200 0.0837
4.1623 -5.0824 -10.9910
9.6659 -7.5381 3.7020
Na Rb K
8 3 3
Direct
0.6779 0.5957 0.0486
0.3221 0.9514 0.4043
0.1570 0.2299 0.4561
0.6779 0.0486 0.5957
0.3221 0.4043 0.9514
0.8430 0.7701 0.5439
0.8430 0.5439 0.7701
0.1570 0.4561 0.2299
0.8018 0.1982 0.1982
0.1982 0.8018 0.8018
0.5000 0.5000 0.5000
0.0000 0.2277 0.7723
0.0000 0.7723 0.2277
0.5000 0.0000 0.0000

---

- What is the formula in the second record?
  K3Rb3Na8